! RbPaGa2Br8 | Alexandria via LeMat-Bulk | PBE-GGA | relaxed; values from VASP
&SYSTEM
  ibrav = 0, nat = 12, ntyp = 4
/
ATOMIC_SPECIES
Rb 85.47 Rb.upf
Pa 231.04 Pa.upf
Ga 69.72 Ga.upf
Br 79.90 Br.upf
CELL_PARAMETERS angstrom
7.281 0.000 0.000
-0.031 7.436 0.000
-0.108 -0.049 9.716
ATOMIC_POSITIONS crystal
Rb 0.000 0.000 0.000
Pa 0.000 0.000 0.500
Ga 0.499 0.500 0.790
Ga 0.501 0.500 0.210
Br 0.204 0.699 0.497
Br 0.222 0.146 0.303
Br 0.227 0.140 0.702
Br 0.277 0.628 0.000
Br 0.723 0.372 0.000
Br 0.773 0.860 0.298
Br 0.778 0.854 0.697
Br 0.796 0.301 0.503
! Spin magnetization ... 0.00 μB per cell
! E_form (uncorrected) ... -1.191 eV/atom